# 1
DFT (PBE-GGA) results for BaTl2CdHg after structural relaxation.

POSCAR file:
```
BaTl2CdHg
1.0
4.9320 0.0000 0.0000
0.0000 5.0995 0.0000
-2.4660 -2.5497 6.3570
Ba Tl Cd Hg
1 2 1 1
direct
0.4389 0.4389 0.8777
0.7003 0.2003 0.4006
0.0563 0.0563 0.1126
0.1907 0.6907 0.3815
0.8259 0.8259 0.6519
```

## Properties
E_form: -0.27 eV/atom
Total magnetization: 0.000 Bohr magnetons per cell
Energy: -9.2 eV per cell

# 2
DFT (PBE-GGA) results for Ba4TlCd2Hg after structural relaxation.

POSCAR file:
```
Ba4TlCd2Hg
1.0
6.0170 0.0000 0.0000
3.0085 5.2108 0.0000
3.0085 1.7369 9.8273
Ba Tl Cd Hg
4 1 2 1
direct
0.3761 0.3761 0.8716
0.8742 0.8742 0.3773
0.1258 0.1258 0.6227
0.6239 0.6239 0.1284
0.0000 0.0000 0.0000
0.7483 0.7483 0.7550
0.2517 0.2517 0.2450
0.5000 0.5000 0.5000
```

## Properties
E_form: -0.40 eV/atom
Total magnetization: 0.000 Bohr magnetons per cell
Energy: -15.4 eV per cell

# 3
DFT (PBE-GGA) results for Ba2TlCd4Hg3 after structural relaxation.

POSCAR file:
```
Ba2TlCd4Hg3
1.0
-1.2815 -0.0181 -4.6349
4.5166 -1.0843 -1.2445
-2.7955 -12.5882 0.8221
Ba Tl Cd Hg
2 1 4 3
direct
0.5000 0.0000 0.2488
0.0000 0.5000 0.7512
0.5000 0.5000 0.5000
0.5000 0.5000 0.0000
0.0000 0.0000 0.0000
0.5000 0.0000 0.6383
0.0000 0.5000 0.3617
0.0000 0.0000 0.5000
0.5000 0.0000 0.8626
0.0000 0.5000 0.1374
```

## Properties
E_form: -0.31 eV/atom
Total magnetization: 0.000 Bohr magnetons per cell
Energy: -13.9 eV per cell

# 4
DFT (PBE-GGA) results for Ba2TmCdHg6 after structural relaxation.

POSCAR file:
```
Ba2TmCdHg6
1.0
7.9687 -0.0004 0.0000
0.0005 7.9687 0.0000
3.9846 3.9841 5.6347
Ba Tm Cd Hg
2 1 1 6
direct
0.2500 0.7500 0.5000
0.7500 0.2500 0.5000
0.5000 0.5000 0.0000
0.0000 0.0000 0.0000
0.2469 0.7531 0.0000
0.7531 0.7531 0.0000
0.2469 0.2469 0.5062
0.7531 0.2469 0.0000
0.2469 0.2469 0.0000
0.7531 0.7531 0.4938
```

## Properties
E_form: -0.21 eV/atom
Total magnetization: 0.000 Bohr magnetons per cell
Energy: -13.2 eV per cell